[1]
A relaxed Er2PuZrAs4 crystal. Source: the Alexandria database, functional PBE-GGA.

a b c (Å): 4.035 6.982 6.981
angles (deg): 109.27 90.00 90.00
Element x y z (fractional)
Er1 0.500 0.000 0.500
Er2 0.000 0.500 0.500
Pu1 0.000 0.000 0.000
Zr1 0.500 0.500 0.000
As1 0.500 0.256 0.247
As2 0.500 0.744 0.753
As3 0.000 0.259 0.757
As4 0.000 0.741 0.243

Properties
- Magnetization: 0.6530 μB per atom
- Energy relative to the elements: -10.4 eV per formula unit
- DFT total energy: -61.0 eV/cell

[2]
A relaxed La12CeTm5 crystal. Source: the Alexandria database, functional PBE-GGA.

a b c (Å): 10.898 10.981 6.349
angles (deg): 73.24 90.00 60.25
Element x y z (fractional)
La1 0.835 0.000 0.500
La2 0.165 0.000 0.500
La3 0.670 0.000 0.000
La4 0.330 0.000 0.000
La5 0.331 0.671 0.999
La6 0.999 0.671 0.998
La7 0.001 0.329 0.002
La8 0.669 0.329 0.001
La9 0.501 0.334 0.500
La10 0.835 0.666 0.500
La11 0.165 0.334 0.500
La12 0.499 0.666 0.500
Ce1 0.000 0.000 0.000
Tm1 0.500 0.000 0.500
Tm2 0.166 0.668 0.498
Tm3 0.834 0.332 0.502
Tm4 0.667 0.666 0.002
Tm5 0.333 0.334 0.998

Properties
- Magnetization: 0.0529 μB per atom
- Energy relative to the elements: 0.6 eV per formula unit
- DFT total energy: -86.8 eV/cell

[3]
A relaxed Dy3Pu2Ru4 crystal. Source: the Alexandria database, functional PBE-GGA.

a b c (Å): 4.203 5.766 8.895
angles (deg): 99.60 90.00 111.37
Element x y z (fractional)
Dy1 0.374 0.748 0.611
Dy2 0.000 0.000 0.000
Dy3 0.626 0.252 0.389
Pu1 0.329 0.658 0.216
Pu2 0.671 0.342 0.784
Ru1 0.713 0.427 0.095
Ru2 0.089 0.178 0.628
Ru3 0.911 0.822 0.372
Ru4 0.287 0.573 0.905

Properties
- Magnetization: 0.8483 μB per atom
- Energy relative to the elements: -3.0 eV per formula unit
- DFT total energy: -82.5 eV/cell